KMo2F (GGA+U, relaxed); calculated density = 3.6 g cm⁻³; distance to the lowest polymorph of the same formula = 382 meV per atom
1.0
0.000 3.854 3.854
3.854 0.000 3.854
3.854 3.854 0.000
K Mo F
1 2 1
Cartesian
0.000 0.000 0.000 K
1.927 1.927 1.927 Mo
5.781 5.781 5.781 Mo
3.854 3.854 3.854 F